Crystalline Nd4NiCl5 at its relaxed geometry. Source: Alexandria, functional GGA-PBE.

Properties
Raw total energy (eV for the cell shown): -50.1
Relative energy among the computed polymorphs (meV/atom): 0
Crystal system: monoclinic
Formation energy without anion corrections (eV per atom): -1.603

Lattice parameters (Å, degrees): 9.438 9.438 8.429 105.37 105.37 24.42
Positions (direct):
1 Nd 0.002 0.002 0.276
2 Nd 0.345 0.345 0.395
3 Nd 0.655 0.655 0.605
4 Nd 0.998 0.998 0.724
5 Ni 0.500 0.500 0.500
6 Cl 0.165 0.165 0.850
7 Cl 0.173 0.173 0.364
8 Cl 0.500 0.500 0.000
9 Cl 0.827 0.827 0.636
10 Cl 0.835 0.835 0.150



Crystalline BaZrSe2 at its relaxed geometry. Source: Alexandria, functional GGA-PBE.

Properties
Raw total energy (eV for the cell shown): -18.0
Relative energy among the computed polymorphs (meV/atom): 1319
Crystal system: cubic
Formation energy without anion corrections (eV per atom): -0.138

Lattice parameters (Å, degrees): 5.259 5.259 5.259 60.00 60.00 60.00
Positions (direct):
1 Ba 0.000 0.000 0.000
2 Zr 0.250 0.250 0.250
3 Se 0.500 0.500 0.500
4 Se 0.750 0.750 0.750



Crystalline Er2SbI2 at its relaxed geometry. Source: Alexandria, functional GGA-PBE.

Properties
Raw total energy (eV for the cell shown): -22.4
Crystal system: trigonal
Formation energy without anion corrections (eV per atom): -1.218

Lattice parameters (Å, degrees): 11.459 11.459 11.459 21.67 21.67 21.67
Positions (direct):
1 Er 0.117 0.117 0.117
2 Er 0.883 0.883 0.883
3 Sb 0.500 0.500 0.500
4 I 0.274 0.274 0.274
5 I 0.726 0.726 0.726



Crystalline K2CrInCl6 at its relaxed geometry. Source: Alexandria, functional GGA-PBE.

Properties
Raw total energy (eV for the cell shown): -39.7
Crystal system: triclinic
Formation energy without anion corrections (eV per atom): -1.405

Lattice parameters (Å, degrees): 7.293 7.303 7.327 62.78 62.79 62.79
Positions (direct):
1 K 0.233 0.234 0.232
2 K 0.767 0.766 0.768
3 Cr 0.000 0.000 0.000
4 In 0.500 0.500 0.500
5 Cl 0.131 0.798 0.304
6 Cl 0.203 0.698 0.867
7 Cl 0.303 0.132 0.803
8 Cl 0.697 0.868 0.197
9 Cl 0.797 0.302 0.133
10 Cl 0.869 0.202 0.696



Crystalline MnPPdCl2 at its relaxed geometry. Source: Alexandria, functional GGA-PBE.

Properties
Raw total energy (eV for the cell shown): -22.3
Relative energy among the computed polymorphs (meV/atom): 0
Crystal system: tetragonal
Formation energy without anion corrections (eV per atom): 0.224

Lattice parameters (Å, degrees): 4.668 4.668 4.692 90.00 90.00 90.00
Positions (direct):
1 Mn 0.000 0.000 0.000
2 P 0.000 0.000 0.500
3 Pd 0.500 0.500 0.500
4 Cl 0.000 0.500 0.000
5 Cl 0.500 0.000 0.000



Crystalline TmURu2 at its relaxed geometry. Source: Alexandria, functional GGA-PBE.

Properties
Raw total energy (eV for the cell shown): -35.9
Crystal system: tetragonal
DFT formation energy (kJ/mol of atoms): -37.2

Lattice parameters (Å, degrees): 3.384 3.384 6.741 90.00 90.00 90.00
Positions (direct):
1 Tm 0.000 0.000 0.000
2 U 0.000 0.000 0.500
3 Ru 0.500 0.500 0.275
4 Ru 0.500 0.500 0.725